# 1
A plane-wave DFT calculation with PBE was carried out for a relaxed La4Pm3Pr2 crystal.

Calculated values
formation energy: 0.0845 eV per atom
final energy: -42.76 eV per cell
energy above the most stable polymorph in this dataset: 22 kJ/mol of formula units

```
La4Pm3Pr2
1.0
6.594 -1.870 0.000
6.594 1.870 0.000
-6.357 0.000 13.464
La Pm Pr
4 3 2
Direct
0.216 0.216 0.104
0.278 0.278 0.627
0.722 0.722 0.373
0.784 0.784 0.896
0.495 0.495 0.113
0.500 0.500 0.500
0.505 0.505 0.887
0.053 0.053 0.710
0.947 0.947 0.290
```


# 2
A plane-wave DFT calculation with PBE was carried out for a relaxed Bi2Sb2Pb7 crystal.

Calculated values
final energy: -40.53 eV per cell
formation energy from raw total energies: 0.130 eV/atom
energy above the most stable polymorph in this dataset: 102 kJ/mol of formula units

```
Bi2Sb2Pb7
1.0
4.559 -5.665 0.000
4.559 5.665 0.000
0.000 0.000 7.708
Bi Sb Pb
2 2 7
Direct
0.180 0.180 0.000
0.820 0.820 0.000
0.288 0.712 0.500
0.712 0.288 0.500
0.000 0.000 0.500
0.000 0.500 0.220
0.000 0.500 0.780
0.500 0.000 0.220
0.500 0.000 0.780
0.500 0.500 0.224
0.500 0.500 0.776
```


# 3
A plane-wave DFT calculation with PBE was carried out for a relaxed KScB3 crystal.

Calculated values
formation energy: 1.7217 eV per atom
final energy: -18.85 eV per cell
energy above the most stable polymorph in this dataset: 0 kJ/mol of formula units

```
KScB3
1.0
4.714 0.000 0.000
0.000 4.714 0.000
0.000 0.000 4.714
K Sc B
1 1 3
Direct
0.000 0.000 0.000
0.500 0.500 0.500
0.000 0.500 0.500
0.500 0.000 0.500
0.500 0.500 0.000
```


# 4
A plane-wave DFT calculation with PBE was carried out for a relaxed EuNiGe crystal.

Calculated values
formation energy: -0.5874 eV per atom
final energy: -89.74 eV per cell

```
EuNiGe
1.0
6.122 0.000 0.000
0.000 6.158 0.000
-3.781 0.000 6.562
Eu Ni Ge
4 4 4
Direct
0.199 0.140 0.394
0.199 0.360 0.894
0.801 0.640 0.106
0.801 0.860 0.606
0.387 0.595 0.324
0.387 0.905 0.824
0.613 0.095 0.176
0.613 0.405 0.676
0.267 0.643 0.572
0.267 0.857 0.072
0.733 0.143 0.928
0.733 0.357 0.428
```


# 5
A plane-wave DFT calculation with PBE was carried out for a relaxed CeYTlRh crystal.

Calculated values
formation energy: -0.5382 eV per atom
final energy: -24.27 eV per cell
energy above the most stable polymorph in this dataset: 0 kJ/mol of formula units

```
CeYTlRh
1.0
3.453 0.000 0.000
0.000 3.453 0.000
0.000 0.000 8.213
Ce Y Tl Rh
1 1 1 1
Direct
0.000 0.000 0.000
0.000 0.000 0.580
0.500 0.500 0.296
0.500 0.500 0.787
```


# 6
A plane-wave DFT calculation with PBE was carried out for a relaxed SrCr2W crystal.

Calculated values
formation energy: 1.0640 eV per atom
final energy: -88.88 eV per cell
energy above the most stable polymorph in this dataset: 149 kJ/mol of formula units

```
SrCr2W
1.0
2.951 0.000 0.000
-1.476 2.556 0.000
0.000 0.000 27.782
Sr Cr W
3 6 3
Direct
0.000 0.000 0.000
0.333 0.667 0.667
0.667 0.333 0.333
0.000 0.000 0.232
0.000 0.000 0.509
0.333 0.667 0.176
0.333 0.667 0.899
0.667 0.333 0.566
0.667 0.333 0.843
0.000 0.000 0.769
0.333 0.667 0.436
0.667 0.333 0.102
```


# 7
A plane-wave DFT calculation with PBE was carried out for a relaxed AcPm2ErS4 crystal.

Calculated values
final energy: -50.44 eV per cell
formation energy from raw total energies: -1.969 eV/atom

```
AcPm2ErS4
1.0
6.984 0.000 0.000
0.000 4.006 0.000
-2.304 0.000 6.809
Ac Pm Er S
1 2 1 4
Direct
0.000 0.000 0.000
0.500 0.000 0.500
0.500 0.500 0.000
0.000 0.500 0.500
0.242 0.000 0.731
0.256 0.500 0.269
0.744 0.500 0.731
0.758 0.000 0.269
```


# 8
A plane-wave DFT calculation with PBE was carried out for a relaxed Dy5Tm2Ga4 crystal.

Calculated values
formation energy: -0.0279 eV per atom
final energy: -44.37 eV per cell

```
Dy5Tm2Ga4
1.0
-2.342 5.364 6.617
2.342 -5.364 6.617
2.342 5.364 -6.617
Dy Tm Ga
5 2 4
Direct
0.000 0.000 0.000
0.180 0.347 0.833
0.485 0.653 0.833
0.515 0.347 0.167
0.820 0.653 0.167
0.195 0.695 0.500
0.805 0.305 0.500
0.142 0.500 0.642
0.406 0.906 0.500
0.594 0.094 0.500
0.858 0.500 0.358
```


# 9
A plane-wave DFT calculation with PBE was carried out for a relaxed PuAg crystal.

Calculated values
formation energy: 0.0916 eV per atom
final energy: -136.00 eV per cell

```
PuAg
1.0
7.038 0.000 0.000
0.000 7.038 0.000
0.000 0.000 7.038
Pu Ag
8 8
Direct
0.125 0.125 0.125
0.125 0.625 0.625
0.375 0.375 0.875
0.375 0.875 0.375
0.625 0.125 0.625
0.625 0.625 0.125
0.875 0.375 0.375
0.875 0.875 0.875
0.125 0.125 0.625
0.125 0.625 0.125
0.375 0.375 0.375
0.375 0.875 0.875
0.625 0.125 0.125
0.625 0.625 0.625
0.875 0.375 0.875
0.875 0.875 0.375
```


# 10
A plane-wave DFT calculation with PBE was carried out for a relaxed Na2USn2S6 crystal.

Calculated values
final energy: -57.18 eV per cell
formation energy from raw total energies: -0.953 eV/atom

```
Na2USn2S6
1.0
3.619 -6.027 0.000
3.619 6.027 0.000
-2.417 0.000 6.547
Na U Sn S
2 1 2 6
Direct
0.175 0.825 0.000
0.825 0.175 0.000
0.000 0.000 0.500
0.330 0.670 0.500
0.670 0.330 0.500
0.068 0.381 0.719
0.216 0.216 0.281
0.381 0.068 0.719
0.619 0.932 0.281
0.784 0.784 0.719
0.932 0.619 0.281
```


# 11
A plane-wave DFT calculation with PBE was carried out for a relaxed InHg3Pd crystal.

Calculated values
formation energy: 0.0591 eV per atom
final energy: -8.54 eV per cell
energy above the most stable polymorph in this dataset: 0 kJ/mol of formula units

```
InHg3Pd
1.0
5.290 0.000 0.000
0.000 5.290 0.000
0.000 0.000 5.290
In Hg Pd
1 3 1
Direct
0.000 0.000 0.000
0.000 0.500 0.500
0.500 0.000 0.500
0.500 0.500 0.000
0.500 0.500 0.500
```


# 12
A plane-wave DFT calculation with PBE was carried out for a relaxed Ba2TlPb crystal.

Calculated values
formation energy: -0.1531 eV per atom
final energy: -42.13 eV per cell

```
Ba2TlPb
1.0
9.543 0.000 0.000
0.000 9.543 0.000
0.000 0.000 7.791
Ba Tl Pb
8 4 4
Direct
0.248 0.750 0.125
0.250 0.248 0.875
0.250 0.252 0.375
0.252 0.750 0.625
0.748 0.250 0.625
0.750 0.748 0.375
0.750 0.752 0.875
0.752 0.250 0.125
0.000 0.000 0.500
0.000 0.500 0.750
0.500 0.000 0.250
0.500 0.500 0.000
0.000 0.000 0.000
0.000 0.500 0.250
0.500 0.000 0.750
0.500 0.500 0.500
```


# 13
A plane-wave DFT calculation with PBE was carried out for a relaxed Ca2HfPbO6 crystal.

Calculated values
final energy: -146.23 eV per cell
formation energy from raw total energies: -2.570 eV/atom

```
Ca2HfPbO6
1.0
5.657 0.000 0.000
0.000 5.863 0.000
-5.629 0.000 8.148
Ca Hf Pb O
4 2 2 12
Direct
0.232 0.054 0.247
0.232 0.446 0.747
0.768 0.554 0.253
0.768 0.946 0.753
0.500 0.000 0.000
0.500 0.500 0.500
0.000 0.000 0.500
0.000 0.500 0.000
0.144 0.191 0.943
0.144 0.309 0.443
0.248 0.706 0.935
0.248 0.794 0.435
0.372 0.049 0.758
0.372 0.451 0.258
0.628 0.549 0.742
0.628 0.951 0.242
0.752 0.206 0.565
0.752 0.294 0.065
0.856 0.691 0.557
0.856 0.809 0.057
```


# 14
A plane-wave DFT calculation with PBE was carried out for a relaxed BaNi2Pt crystal.

Calculated values
formation energy: 0.4767 eV per atom
final energy: -70.48 eV per cell

```
BaNi2Pt
1.0
6.750 0.000 0.000
0.000 6.750 0.000
0.000 0.000 6.750
Ba Ni Pt
4 8 4
Direct
0.000 0.000 0.000
0.000 0.500 0.500
0.500 0.000 0.500
0.500 0.500 0.000
0.000 0.000 0.500
0.000 0.500 0.000
0.250 0.250 0.750
0.250 0.750 0.250
0.500 0.000 0.000
0.500 0.500 0.500
0.750 0.250 0.250
0.750 0.750 0.750
0.250 0.250 0.250
0.250 0.750 0.750
0.750 0.250 0.750
0.750 0.750 0.250
```


# 15
A plane-wave DFT calculation with PBE was carried out for a relaxed P2RuSe crystal.

Calculated values
final energy: -44.67 eV per cell
formation energy from raw total energies: 0.311 eV/atom

```
P2RuSe
1.0
2.865 0.000 0.000
0.000 4.527 0.000
0.000 0.000 10.285
P Ru Se
4 2 2
Direct
0.000 0.000 0.191
0.000 0.000 0.809
0.500 0.500 0.309
0.500 0.500 0.691
0.000 0.500 0.500
0.500 0.000 0.000
0.000 0.500 0.000
0.500 0.000 0.500
```


# 16
A plane-wave DFT calculation with PBE was carried out for a relaxed Li2As crystal.

Calculated values
formation energy: -0.5815 eV per atom
final energy: -10.22 eV per cell
energy above the most stable polymorph in this dataset: 14 kJ/mol of formula units

```
Li2As
1.0
4.257 0.000 0.000
-2.129 3.687 0.000
0.000 0.000 2.992
Li As
2 1
Direct
0.333 0.667 0.321
0.667 0.333 0.679
0.000 0.000 0.000
```


# 17
A plane-wave DFT calculation with PBE was carried out for a relaxed Np2ClF5 crystal.

Calculated values
final energy: -124.70 eV per cell
formation energy from raw total energies: -3.158 eV/atom

```
Np2ClF5
1.0
3.983 0.000 0.000
0.000 7.299 0.000
0.000 0.000 9.346
Np Cl F
4 2 10
Direct
0.000 0.000 0.241
0.000 0.000 0.759
0.500 0.500 0.259
0.500 0.500 0.741
0.000 0.500 0.000
0.500 0.000 0.500
0.000 0.000 0.000
0.000 0.321 0.316
0.000 0.321 0.684
0.000 0.679 0.316
0.000 0.679 0.684
0.500 0.179 0.184
0.500 0.179 0.816
0.500 0.500 0.500
0.500 0.821 0.184
0.500 0.821 0.816
```


# 18
A plane-wave DFT calculation with PBE was carried out for a relaxed BeCuOs2 crystal.

Calculated values
formation energy: 0.1693 eV per atom
final energy: -29.60 eV per cell

```
BeCuOs2
1.0
2.728 0.000 0.000
0.000 3.669 0.000
0.000 0.000 5.154
Be Cu Os
1 1 2
Direct
0.000 0.000 0.000
0.500 0.500 0.201
0.000 0.000 0.492
0.500 0.500 0.716
```


# 19
A plane-wave DFT calculation with PBE was carried out for a relaxed AcPrPu2As4 crystal.

Calculated values
formation energy: -1.2231 eV per atom
final energy: -65.93 eV per cell

```
AcPrPu2As4
1.0
7.395 0.000 0.000
0.000 4.288 0.000
-2.483 0.000 7.007
Ac Pr Pu As
1 1 2 4
Direct
0.000 0.000 0.000
0.000 0.500 0.500
0.500 0.000 0.500
0.500 0.500 0.000
0.269 0.000 0.750
0.274 0.500 0.264
0.726 0.500 0.736
0.731 0.000 0.250
```


# 20
A plane-wave DFT calculation with PBE was carried out for a relaxed Nd2DyPu3Se6 crystal.

Calculated values
final energy: -98.27 eV per cell
formation energy from raw total energies: -1.685 eV/atom

```
Nd2DyPu3Se6
1.0
9.061 -2.078 0.000
9.061 2.078 0.000
-1.843 0.000 8.121
Nd Dy Pu Se
2 1 3 6
Direct
0.166 0.166 0.336
0.834 0.834 0.664
0.500 0.500 0.000
0.168 0.168 0.835
0.500 0.500 0.500
0.832 0.832 0.165
0.002 0.002 0.755
0.335 0.335 0.411
0.335 0.335 0.922
0.665 0.665 0.078
0.665 0.665 0.589
0.998 0.998 0.245
```